P:
KPb2 after structural relaxation, computed with GGA-PBE.

Crystal system: hexagonal
ρ (g/cm³): 6.984
Fermi-level density of states (states/eV/cell): 11.80
Spin magnetization (μB/f.u.): 0.0

Cell: 6.8060 6.8060 10.7514 Å, 90.00 90.00 120.00°
Closest atoms and distances in Å follow each position.
Space group P6_3/mmc (No. 194)
Asymmetric unit:
K 0.3333 0.6667 0.0654 (multiplicity 4)  12 Pb 3.91-3.99, 4 K 3.97-4.17
Pb 0.0000 0.0000 0.0000 (multiplicity 2)  6 Pb 3.34
Pb 0.1680 0.3360 0.7500 (multiplicity 6)  6 Pb 3.34-3.43


Q:
KPb2 after structural relaxation, computed with GGA-PBE.

Crystal system: tetragonal
ρ (g/cm³): 6.001
Fermi-level density of states (states/eV/cell): 5.14
Spin magnetization (μB/f.u.): 0.0

Cell: 5.2045 5.2045 18.5322 Å, 90.00 90.00 90.00°
Closest atoms and distances in Å follow each position.
Space group I4_1/amd (No. 141, origin choice 2)
Asymmetric unit:
K 0.0000 0.2500 0.3750 (multiplicity 4)  12 Pb 3.99-4.04
Pb 0.0000 0.2500 0.7921 (multiplicity 8)  3 Pb 3.03-3.07


R:
KPb2 after structural relaxation, computed with GGA-PBE.

Crystal system: cubic
ρ (g/cm³): 7.045
Fermi-level density of states (states/eV/cell): 5.68
Spin magnetization (μB/f.u.): 0.0

Cell: 9.4918 9.4918 9.4918 Å, 90.00 90.00 90.00°
Closest atoms and distances in Å follow each position.
Space group Fd-3m (No. 227, origin choice 2)
Asymmetric unit:
K 0.1250 0.1250 0.1250 (multiplicity 8)  12 Pb 3.94, 4 K 4.11
Pb 0.0000 0.0000 0.5000 (multiplicity 16)  6 Pb 3.36


S:
KPb2 after structural relaxation, computed with GGA-PBE.

Crystal system: orthorhombic
ρ (g/cm³): 7.283
Fermi-level density of states (states/eV/cell): 6.46
Spin magnetization (μB/f.u.): 0.0

Cell: 3.6050 18.1961 6.3055 Å, 90.00 90.00 90.00°
Closest atoms and distances in Å follow each position.
Space group Cmcm (No. 63)
Asymmetric unit:
K 0.0000 0.1112 0.2500 (multiplicity 4)  10 Pb 3.58-3.76, 2 K 3.61
Pb 0.0000 0.2118 0.7500 (multiplicity 4)  4 Pb 3.32-3.61, 4 K 3.65-3.69
Pb 0.0000 0.4414 0.2500 (multiplicity 4)  4 Pb 3.32-3.61, 2 K 3.58


Relative energies in meV/atom: P 27; Q 152; R 0; S 128


P:
KPb2 after structural relaxation, computed with GGA-PBE.

Crystal system: tetragonal
ρ (g/cm³): 5.934
Fermi-level density of states (states/eV/cell): 2.19
Spin magnetization (μB/f.u.): 0.0

Cell: 4.5120 4.5120 6.2331 Å, 90.00 90.00 90.00°
Closest atoms and distances in Å follow each position.
Space group P4/mmm (No. 123)
Asymmetric unit:
K 0.0000 0.0000 0.0000 (multiplicity 1)  8 Pb 3.85
Pb 0.0000 0.5000 0.5000 (multiplicity 2)  4 Pb 3.19


Q:
KPb2 after structural relaxation, computed with GGA-PBE.

Crystal system: hexagonal
ρ (g/cm³): 6.687
Fermi-level density of states (states/eV/cell): 4.56
Spin magnetization (μB/f.u.): 0.0

Cell: 8.2859 8.2859 5.6821 Å, 90.00 90.00 120.00°
Closest atoms and distances in Å follow each position.
Space group P-62m (No. 189)
Asymmetric unit:
K 0.0000 0.0000 0.0000 (multiplicity 1)  9 Pb 3.39-3.75
K 0.3333 0.6667 0.5000 (multiplicity 2)  3 Pb 3.31
Pb 0.0000 0.2241 0.5000 (multiplicity 3)  4 Pb 3.22-3.42, 4 K 3.31-3.39
Pb 0.0000 0.4530 0.0000 (multiplicity 3)  2 Pb 3.42, 5 K 3.73-3.75


R:
KPb2 after structural relaxation, computed with GGA-PBE.

Crystal system: orthorhombic
ρ (g/cm³): 7.207
Fermi-level density of states (states/eV/cell): 4.33
Spin magnetization (μB/f.u.): 0.0

Cell: 7.4343 5.2499 10.7082 Å, 90.00 90.00 90.00°
Closest atoms and distances in Å follow each position.
Space group Pnma (No. 62)
Asymmetric unit:
K 0.1366 0.2500 0.0807 (multiplicity 4)  10 Pb 3.61-3.93, 2 K 3.74
Pb 0.0546 0.2500 0.7186 (multiplicity 4)  3 Pb 3.26-3.29
Pb 0.1269 0.2500 0.4182 (multiplicity 4)  3 Pb 3.26-3.29, 4 K 3.61-3.64


S:
KPb2 after structural relaxation, computed with GGA-PBE.

Crystal system: trigonal
ρ (g/cm³): 6.542
Fermi-level density of states (states/eV/cell): 0.84
Spin magnetization (μB/f.u.): 0.0

Cell: 4.1406 4.1406 7.7523 Å, 90.00 90.00 120.00°
Closest atoms and distances in Å follow each position.
Space group P-3m1 (No. 164)
Asymmetric unit:
K 0.0000 0.0000 0.0000 (multiplicity 1)  6 Pb 3.73, 6 K 4.14
Pb 0.3333 0.6667 0.3690 (multiplicity 2)  3 Pb 3.14


Relative energies in meV/atom: P 135; Q 185; R 0; S 55


P:
KPb2 after structural relaxation, computed with GGA-PBE.

Crystal system: orthorhombic
ρ (g/cm³): 7.058
Fermi-level density of states (states/eV/cell): 4.70
Spin magnetization (μB/f.u.): 0.0

Cell: 5.4931 5.5325 14.0439 Å, 90.00 90.00 90.00°
Closest atoms and distances in Å follow each position.
Space group Fmmm (No. 69)
Asymmetric unit:
K 0.0000 0.0000 0.0000 (multiplicity 4)  8 Pb 3.80-3.81, 4 K 3.90
Pb 0.0000 0.0000 0.3132 (multiplicity 8)  4 Pb 3.27-3.29


Q:
KPb2 after structural relaxation, computed with GGA-PBE.

Crystal system: cubic
ρ (g/cm³): 6.503
Fermi-level density of states (states/eV/cell): 8.49
Spin magnetization (μB/f.u.): 0.0

Cell: 7.7374 7.7374 7.7374 Å, 90.00 90.00 90.00°
Closest atoms and distances in Å follow each position.
Space group Fm-3m (No. 225)
Asymmetric unit:
K 0.0000 0.0000 0.0000 (multiplicity 4)  8 Pb 3.35
Pb 0.2500 0.2500 0.2500 (multiplicity 8)  4 K 3.35


R:
KPb2 after structural relaxation, computed with GGA-PBE.

Crystal system: hexagonal
ρ (g/cm³): 7.409
Fermi-level density of states (states/eV/cell): 4.29
Spin magnetization (μB/f.u.): 0.0

Cell: 5.7536 5.7536 7.0904 Å, 90.00 90.00 120.00°
Closest atoms and distances in Å follow each position.
Space group P6_3/mmc (No. 194)
Asymmetric unit:
K 0.3333 0.6667 0.2500 (multiplicity 2)  5 Pb 3.32-3.55
Pb 0.0000 0.0000 0.0000 (multiplicity 2)  8 Pb 3.55-3.77, 6 K 3.77
Pb 0.3333 0.6667 0.7500 (multiplicity 2)  5 K 3.32-3.55


Relative energies in meV/atom: P 0; Q 486; R 155


P:
K4Pb after structural relaxation, computed with GGA-PBE.

Crystal system: tetragonal
ρ (g/cm³): 2.104
Fermi-level density of states (states/eV/cell): 8.93
Spin magnetization (μB/f.u.): 0.0

Cell: 5.1619 5.1619 21.5376 Å, 90.00 90.00 90.00°
Closest atoms and distances in Å follow each position.
Space group I4/mmm (No. 139)
Asymmetric unit:
K 0.0000 0.0000 0.0815 (multiplicity 4)  1 K 3.51
K 0.0000 0.5000 0.2500 (multiplicity 4)  4 K 3.65
Pb 0.0000 0.0000 0.5000 (multiplicity 2)  8 K 4.05


Q:
K4Pb after structural relaxation, computed with GGA-PBE.

Crystal system: monoclinic
ρ (g/cm³): 2.098
Fermi-level density of states (states/eV/cell): 6.58
Spin magnetization (μB/f.u.): 0.0

Cell: 8.5502 12.8227 5.5442 Å, 90.00 108.73 90.00°
Closest atoms and distances in Å follow each position.
Space group P2/c (No. 13)
Asymmetric unit:
K 0.2132 0.1281 0.1072 (multiplicity 4)  3 Pb 3.61-3.66
K 0.2451 0.3658 0.6221 (multiplicity 4)  5 K 4.12-4.42, 1 Pb 4.13
Pb 0.5000 0.0870 0.7500 (multiplicity 2)  2 Pb 3.56, 6 K 3.61-3.66


R:
K4Pb after structural relaxation, computed with GGA-PBE.

Crystal system: cubic
ρ (g/cm³): 1.796
Fermi-level density of states (states/eV/cell): 4.75
Spin magnetization (μB/f.u.): 0.3

Cell: 6.9538 6.9538 6.9538 Å, 90.00 90.00 90.00°
Closest atoms and distances in Å follow each position.
Space group Pm-3m (No. 221)
Asymmetric unit:
K 0.0000 0.0000 0.0000 (multiplicity 1)  12 K 4.92
K 0.0000 0.5000 0.5000 (multiplicity 3)  2 Pb 3.48
Pb 0.5000 0.5000 0.5000 (multiplicity 1)  6 K 3.48


Relative energies in meV/atom: P 240; Q 0; R 67